[1]
ErThPa2N6 | PBE-GGA | relaxed

The space group is R3 (No. 146, hexagonal axes) and the conventional cell measures 6.0238, 6.0238 and 14.9265 Å, with angles of 90.00, 90.00 and 120.00 degrees. Symmetry generates all atoms from Er at (0.0000, 0.0000, 0.0000), Th at (0.0000, 0.0000, 0.5089), Pa at (0.0000, 0.0000, 0.2804), Pa at (0.0000, 0.0000, 0.7770), N at (0.0235, 0.2984, 0.3811) and N at (0.0295, 0.7317, 0.8806).

For the uncorrected energy, the calculation gives -9.573 eV per atom. The value obtained for the uncorrected formation energy is -1.48 eV/atom.

***

[2]
Eu2MgTl | PBE-GGA | relaxed

The space group is P4/mmm (No. 123) and the conventional cell measures 5.645, 5.645 and 3.980 Å, with angles of 90.00, 90.00 and 90.00 degrees. Symmetry generates all atoms from Eu at (0.000, 0.500, 0.000), Mg at (0.000, 0.000, 0.500) and Tl at (0.500, 0.500, 0.500).

For the uncorrected energy, the calculation gives -6.399 eV per atom.

***

[3]
TaNi4Ge | PBE-GGA | relaxed

The space group is F-43m (No. 216) and the conventional cell measures 6.707, 6.707 and 6.707 Å, with angles of 90.00, 90.00 and 90.00 degrees. Symmetry generates all atoms from Ta at (0.000, 0.000, 0.000), Ni at (0.125, 0.125, 0.375) and Ge at (0.250, 0.250, 0.750).

For the uncorrected energy, the calculation gives -6.748 eV per atom.

***

Question: Which value of uncorrected energy does entry 3 give?
Answer: -6.748 eV per atom

***

What did the first record say?
ErThPa2N6 | PBE-GGA | relaxed

The space group is R3 (No. 146, hexagonal axes) and the conventional cell measures 6.0238, 6.0238 and 14.9265 Å, with angles of 90.00, 90.00 and 120.00 degrees. Symmetry generates all atoms from Er at (0.0000, 0.0000, 0.0000), Th at (0.0000, 0.0000, 0.5089), Pa at (0.0000, 0.0000, 0.2804), Pa at (0.0000, 0.0000, 0.7770), N at (0.0235, 0.2984, 0.3811) and N at (0.0295, 0.7317, 0.8806).

For the uncorrected energy, the calculation gives -9.573 eV per atom. The value obtained for the uncorrected formation energy is -1.48 eV/atom.